Entry i
Density functional theory data (PBE) for Tb5Pr4Tl after structural relaxation.

```
data_Tb5Pr4Tl
_symmetry_space_group_name_H-M 'P 4/m m m'
_symmetry_Int_Tables_number 123
_symmetry_space_group_name_Hall '-P 4 2'
_cell_length_a 4.2015
_cell_length_b 4.2015
_cell_length_c 18.4284
_cell_angle_alpha 90.00
_cell_angle_beta 90.00
_cell_angle_gamma 90.00
loop_
_atom_site_label
_atom_site_type_symbol
_atom_site_fract_x
_atom_site_fract_y
_atom_site_fract_z
Tb1 Tb 0.0000 0.0000 0.0000
Tb2 Tb 0.0000 0.0000 0.2087
Tb3 Tb 0.0000 0.0000 0.4129
Pr1 Pr 0.5000 0.5000 0.1030
Pr2 Pr 0.5000 0.5000 0.3043
Tl1 Tl 0.5000 0.5000 0.5000
```

Entry ii
Density functional theory data (PBE) for Tb5Pr4Tl after structural relaxation.

```
data_Tb5Pr4Tl
_symmetry_space_group_name_H-M 'I 4 m m'
_symmetry_Int_Tables_number 107
_symmetry_space_group_name_Hall 'I 4 -2'
_cell_length_a 10.8415
_cell_length_b 10.8415
_cell_length_c 5.8973
_cell_angle_alpha 90.00
_cell_angle_beta 90.00
_cell_angle_gamma 90.00
loop_
_atom_site_label
_atom_site_type_symbol
_atom_site_fract_x
_atom_site_fract_y
_atom_site_fract_z
Tb1 Tb 0.0000 0.0000 0.0000
Tb2 Tb 0.1843 0.1843 0.2953
Pr1 Pr 0.0000 0.3121 0.8047
Tl1 Tl 0.0000 0.0000 0.5179
```

It is entry i that is most stable; the runner-up trails by 0.060 eV/atom.

Entry i
Density functional theory data (PBE) for Tb5Pr2Tl after structural relaxation.

```
data_Tb5Pr2Tl
_symmetry_space_group_name_H-M 'C 1 m 1'
_symmetry_Int_Tables_number 8
_cell_length_a 12.3721
_cell_length_b 7.0667
_cell_length_c 7.0666
_cell_angle_alpha 90.00
_cell_angle_beta 124.83
_cell_angle_gamma 90.00
loop_
_symmetry_equiv_pos_as_xyz
'x,y,z'
'x,-y,z'
'x+1/2,y+1/2,z'
'x+1/2,-y+1/2,z'
loop_
_atom_site_label
_atom_site_type_symbol
_atom_site_fract_x
_atom_site_fract_y
_atom_site_fract_z
Tb1 Tb 0.0000 0.0000 0.0000
Tb2 Tb 0.2499 0.2499 0.4999
Tb3 Tb 0.2505 0.2497 0.0008
Pr1 Pr 0.0001 0.0000 0.5006
Pr2 Pr 0.0001 0.5000 0.9993
Tl1 Tl 0.0004 0.5000 0.5001
```

Entry ii
Density functional theory data (PBE) for Tb5Pr2Tl after structural relaxation.

```
data_Tb5Pr2Tl
_symmetry_space_group_name_H-M 'I 4/m m m'
_symmetry_Int_Tables_number 139
_symmetry_space_group_name_Hall '-I 4 2'
_cell_length_a 4.9498
_cell_length_b 4.9498
_cell_length_c 20.6000
_cell_angle_alpha 90.00
_cell_angle_beta 90.00
_cell_angle_gamma 90.00
loop_
_atom_site_label
_atom_site_type_symbol
_atom_site_fract_x
_atom_site_fract_y
_atom_site_fract_z
Tb1 Tb 0.0000 0.0000 0.0000
Tb2 Tb 0.0000 0.5000 0.1191
Pr1 Pr 0.0000 0.0000 0.2445
Tl1 Tl 0.0000 0.0000 0.5000
```

It is entry ii that is most stable; the runner-up trails by 0.021 eV/atom.